(1)
# CaPr4Er3

CaPr4Er3 after structural relaxation (GGA-PBE, Alexandria via LeMat-Bulk).

Cell: 7.2726 7.2937 10.2683 Å, 90.00 90.00 90.00°
Space group Pmna (No. 53)
One atom of each set of equivalent atoms:
Ca1 0.0000 0.0000 0.0000
Pr1 0.0000 0.0000 0.5000
Pr2 0.0000 0.5000 0.5000
Pr3 0.2500 0.2560 0.2500
Er1 0.0000 0.5000 0.0000
Er2 0.2500 0.2595 0.7500

## Properties
total energy = -68.95 eV per cell
crystal system = orthorhombic
ΔE_f = 0.042 eV/atom

***

(2)
# BiP2S

BiP2S after structural relaxation (GGA-PBE, Alexandria via LeMat-Bulk).

Cell: 5.2302 5.2302 14.4680 Å, 90.00 90.00 90.00°
Space group I-42d (No. 122)
One atom of each set of equivalent atoms:
Bi1 0.0000 0.0000 0.0000
P1 0.1673 0.2500 0.6250
S1 0.0000 0.0000 0.5000

## Properties
formation energy (no corrections) = 0.46 eV per atom
total energy = -67.95 eV per cell
crystal system = tetragonal
distance to the lowest polymorph of the same formula = 0 kJ/mol of formula units

***

(3)
# CsNa2Pb8

CsNa2Pb8 after structural relaxation (GGA-PBE, Alexandria via LeMat-Bulk).

Cell: 4.8068 4.8068 16.6789 Å, 90.00 90.00 90.00°
Space group P4/mmm (No. 123)
One atom of each set of equivalent atoms:
Cs1 0.0000 0.0000 0.0000
Na1 0.0000 0.0000 0.3478
Pb1 0.0000 0.5000 0.1984
Pb2 0.0000 0.5000 0.5000
Pb3 0.5000 0.5000 0.3408

## Properties
total energy = -34.28 eV per cell
crystal system = tetragonal
ΔE_f = -0.102 eV/atom

***

(4)
# Ba3LiNb2O9

Ba3LiNb2O9 after structural relaxation (GGA-PBE, Alexandria via LeMat-Bulk).

Cell: 5.8964 5.8964 7.2825 Å, 90.00 90.00 120.00°
Space group P-3m1 (No. 164)
One atom of each set of equivalent atoms:
Ba1 0.0000 0.0000 0.0000
Ba2 0.3333 0.6667 0.6613
Li1 0.0000 0.0000 0.5000
Nb1 0.3333 0.6667 0.1791
O1 0.0000 0.5000 0.0000
O2 0.1734 0.3468 0.3205

## Properties
formation energy (no corrections) = -2.62 eV per atom
total energy = -111.78 eV per cell
crystal system = trigonal

***

(5)
# Ho5CdRh2

Ho5CdRh2 after structural relaxation (GGA-PBE, Alexandria via LeMat-Bulk).

Cell: 7.7282 7.7282 13.4102 Å, 90.00 90.00 90.00°
Space group I4/mcm (No. 140)
One atom of each set of equivalent atoms:
Ho1 0.0000 0.0000 0.0000
Ho2 0.1596 0.3404 0.1353
Cd1 0.0000 0.0000 0.2500
Rh1 0.1404 0.3596 0.5000

## Properties
total energy = -173.11 eV per cell
crystal system = tetragonal
ΔE_f = -0.596 eV/atom

***

(6)
# LaSmMgRh

LaSmMgRh after structural relaxation (GGA-PBE, Alexandria via LeMat-Bulk).

Cell: 7.3990 7.3990 7.3990 Å, 90.00 90.00 90.00°
Space group F-43m (No. 216)
One atom of each set of equivalent atoms:
La1 0.0000 0.0000 0.0000
Sm1 0.0000 0.0000 0.5000
Mg1 0.2500 0.2500 0.2500
Rh1 0.2500 0.2500 0.7500

## Properties
total energy = -79.31 eV per cell
crystal system = cubic
ΔE_f = -0.309 eV/atom